[1]
## BaSr2As (PBE)

Data for a relaxed structure of BaSr2As.

a b c (Å): 7.970 7.970 7.970
angles (deg): 150.02 137.23 53.11
Positions (direct):
1 Ba 0.000 0.000 0.000
2 Sr 0.332 0.832 0.500
3 Sr 0.668 0.168 0.500
4 As 0.500 0.500 0.000

Summary:
DFT formation energy   -596 meV/atom
Crystal system   orthorhombic
Space-group type   Immm (71)
Magnetization   0.0 Bohr magnetons per cell
Mass density   3.765 Mg/m³

[2]
## Pm7Tm (PBE)

Data for a relaxed structure of Pm7Tm.

a b c (Å): 7.250 7.250 7.250
angles (deg): 60.00 60.00 60.00
Positions (direct):
1 Pm 0.000 0.000 0.000
2 Pm 0.000 0.000 0.500
3 Pm 0.000 0.500 0.000
4 Pm 0.000 0.500 0.500
5 Pm 0.500 0.000 0.000
6 Pm 0.500 0.000 0.500
7 Pm 0.500 0.500 0.000
8 Tm 0.500 0.500 0.500

Summary:
DFT formation energy   11 meV/atom
Crystal system   cubic
Space-group type   Fm-3m (225)
Magnetization   0.0 Bohr magnetons per cell
Mass density   7.295 Mg/m³